Entry 1:
Compound: LiCeSe3
Source: Alexandria via LeMat-Bulk
Functional: PBE
Structure: relaxed Values from VASP.

```
&SYSTEM
  ibrav = 0, nat = 20, ntyp = 3
/
ATOMIC_SPECIES
Se 78.96 Se.upf
Ce 140.12 Ce.upf
Li 6.94 Li.upf
CELL_PARAMETERS angstrom
-2.2704 3.7938 -5.4435
-7.3545 -0.4705 2.7395
4.5542 7.5759 3.3806
ATOMIC_POSITIONS crystal
Se 0.9597 0.2747 0.3479
Se 0.9478 0.1271 0.9532
Se 0.4478 0.3729 0.5468
Se 0.6934 0.8870 0.3412
Se 0.4597 0.2253 0.1521
Se 0.5522 0.6271 0.4532
Se 0.5403 0.7747 0.8479
Se 0.8066 0.3870 0.8412
Se 0.0403 0.7253 0.6521
Se 0.3066 0.1130 0.6588
Se 0.1934 0.6130 0.1588
Se 0.0522 0.8729 0.0468
Ce 0.2902 0.0322 0.3227
Ce 0.2098 0.5322 0.8227
Ce 0.7098 0.9678 0.6773
Ce 0.7902 0.4678 0.1773
Li 0.2118 0.5192 0.3993
Li 0.2882 0.0192 0.8993
Li 0.7882 0.4808 0.6007
Li 0.7118 0.9808 0.1007
```

Results
Total magnetization: 0.003 μB per formula unit
E_form (uncorrected): -1.22 eV per atom
Calculated volume: 24.2 A^3/atom

***

Entry 2:
Compound: LiCe2Se
Source: Alexandria via LeMat-Bulk
Functional: PBE
Structure: relaxed Values from VASP.

```
&SYSTEM
  ibrav = 0, nat = 4, ntyp = 3
/
ATOMIC_SPECIES
Ce 140.12 Ce.upf
Se 78.96 Se.upf
Li 6.94 Li.upf
CELL_PARAMETERS angstrom
-0.2442 -2.2261 -2.9803
3.0979 -1.1599 -1.7190
1.2815 -9.7525 4.8480
ATOMIC_POSITIONS crystal
Ce 0.1066 0.1066 0.6803
Ce 0.8934 0.8934 0.3197
Se 0.5000 0.5000 0.5000
Li 0.0000 0.0000 0.0000
```

Results
Total magnetization: 3.280 μB per formula unit
E_form (uncorrected): -0.45 eV per atom
Calculated volume: 32.4 A^3/atom

***

Entry 3:
Compound: LiCeSe
Source: Alexandria via LeMat-Bulk
Functional: PBE
Structure: relaxed Values from VASP.

```
&SYSTEM
  ibrav = 0, nat = 3, ntyp = 3
/
ATOMIC_SPECIES
Li 6.94 Li.upf
Ce 140.12 Ce.upf
Se 78.96 Se.upf
CELL_PARAMETERS angstrom
-0.2835 -3.9716 1.2782
3.7449 0.3111 1.7975
-3.4332 0.9412 2.1631
ATOMIC_POSITIONS crystal
Li 0.8331 0.0000 0.0000
Ce 0.3334 0.3333 0.6667
Se 0.8335 0.6667 0.3333
```

Results
Total magnetization: 1.094 μB per formula unit
E_form (uncorrected): -1.05 eV per atom
E above lowest polymorph: 0.0 meV/atom
Calculated volume: 20.9 A^3/atom

***

Entry 4:
Compound: LiCe4Se5
Source: Alexandria via LeMat-Bulk
Functional: PBE
Structure: relaxed Values from VASP.

```
&SYSTEM
  ibrav = 0, nat = 10, ntyp = 3
/
ATOMIC_SPECIES
Ce 140.12 Ce.upf
Se 78.96 Se.upf
Li 6.94 Li.upf
CELL_PARAMETERS angstrom
5.3284 0.0000 2.5700
2.6642 6.6013 1.2850
-0.2036 0.0000 7.2308
ATOMIC_POSITIONS crystal
Ce 0.8015 0.7967 0.6007
Ce 0.1989 0.2033 0.3993
Ce 0.5982 0.6007 0.2033
Ce 0.4022 0.3993 0.7967
Se 0.0981 0.6119 0.1924
Se 0.4996 0.0000 0.0000
Se 0.7099 0.1924 0.3881
Se 0.2905 0.8076 0.6119
Se 0.9024 0.3881 0.8076
Li 0.0089 0.0000 0.0000
```

Results
Total magnetization: 4.567 μB per formula unit
E_form (uncorrected): -1.72 eV per atom
E above lowest polymorph: 0.0 meV/atom
Calculated volume: 25.8 A^3/atom

***

Entry 5:
Compound: LiCe2Se3
Source: Alexandria via LeMat-Bulk
Functional: PBE
Structure: relaxed Values from VASP.

```
&SYSTEM
  ibrav = 0, nat = 6, ntyp = 3
/
ATOMIC_SPECIES
Ce 140.12 Ce.upf
Se 78.96 Se.upf
Li 6.94 Li.upf
CELL_PARAMETERS angstrom
0.5309 0.9344 -4.0076
0.5303 -5.7410 -1.2682
-6.7057 2.0327 1.7335
ATOMIC_POSITIONS crystal
Ce 0.8325 0.8325 0.1649
Ce 0.1675 0.1675 0.8351
Se 0.5000 0.0000 0.5000
Se 0.1594 0.6594 0.8187
Se 0.8406 0.3406 0.1813
Li 0.5000 0.5000 0.5000
```

Results
Total magnetization: 2.457 μB per formula unit
E_form (uncorrected): -1.66 eV per atom
E above lowest polymorph: 0.0 meV/atom
Calculated volume: 25.5 A^3/atom

***

Entry 6:
Compound: LiCe3Se6
Source: Alexandria via LeMat-Bulk
Functional: PBE
Structure: relaxed Values from VASP.

```
&SYSTEM
  ibrav = 0, nat = 20, ntyp = 3
/
ATOMIC_SPECIES
Se 78.96 Se.upf
Li 6.94 Li.upf
Ce 140.12 Ce.upf
CELL_PARAMETERS angstrom
-5.9024 3.7633 -0.0376
-0.8862 -1.3024 8.7631
4.7863 7.5047 -0.2084
ATOMIC_POSITIONS crystal
Se 0.7063 0.5600 0.0948
Se 0.2063 0.4400 0.9052
Se 0.6811 0.6311 0.6926
Se 0.2063 0.0948 0.5600
Se 0.1811 0.6926 0.6311
Se 0.7052 0.9740 0.0260
Se 0.7063 0.9052 0.4400
Se 0.1465 0.7717 0.2283
Se 0.2052 0.0260 0.9740
Se 0.1811 0.3689 0.3074
Se 0.6465 0.2283 0.7717
Se 0.6811 0.3074 0.3689
Li 0.5137 0.8102 0.1898
Li 0.0137 0.1898 0.8102
Ce 0.8837 0.6073 0.3927
Ce 0.4807 0.9247 0.7158
Ce 0.9807 0.0753 0.2842
Ce 0.4807 0.2842 0.0753
Ce 0.3837 0.3927 0.6073
Ce 0.9807 0.7158 0.9247
```

Results
Total magnetization: 1.144 μB per formula unit
E_form (uncorrected): -1.63 eV per atom
Calculated volume: 27.2 A^3/atom

***

Entry 7:
Compound: Li4CeSm3Se8
Source: Alexandria via LeMat-Bulk
Functional: PBE
Structure: relaxed Values from VASP.

```
&SYSTEM
  ibrav = 0, nat = 16, ntyp = 4
/
ATOMIC_SPECIES
Se 78.96 Se.upf
Sm 150.36 Sm.upf
Ce 140.12 Ce.upf
Li 6.94 Li.upf
CELL_PARAMETERS angstrom
8.3430 0.0000 0.0000
0.0000 8.1012 -0.1809
-4.1715 -4.1666 5.8995
ATOMIC_POSITIONS crystal
Se 0.2539 0.7581 0.5078
Se 0.7507 0.7581 0.0046
Se 0.7461 0.2419 0.9954
Se 0.2493 0.2419 0.9954
Se 0.2474 0.2425 0.4947
Se 0.7526 0.7575 0.5053
Se 0.7461 0.2419 0.4922
Se 0.2539 0.7581 0.0046
Sm 0.5000 0.5000 0.5000
Sm 0.0000 0.5000 0.5000
Sm 0.5000 0.5000 0.0000
Ce 0.0000 0.5000 0.0000
Li 0.5000 0.0000 0.0000
Li 0.5000 0.0000 0.5000
Li 0.0000 0.0000 0.0000
Li 0.0000 0.0000 0.5000
```

Results
Total magnetization: 0.955 μB per formula unit
E_form (uncorrected): -1.66 eV per atom
Calculated volume: 24.5 A^3/atom

***

Entry 8:
Compound: Li4Ce3SmSe8
Source: Alexandria via LeMat-Bulk
Functional: PBE
Structure: relaxed Values from VASP.

```
&SYSTEM
  ibrav = 0, nat = 16, ntyp = 4
/
ATOMIC_SPECIES
Ce 140.12 Ce.upf
Sm 150.36 Sm.upf
Se 78.96 Se.upf
Li 6.94 Li.upf
CELL_PARAMETERS angstrom
-1.9112 -7.4894 -3.2938
-1.2873 -2.9475 7.4491
-3.9524 6.9054 -2.6921
ATOMIC_POSITIONS crystal
Ce 0.5000 0.5000 0.5000
Ce 0.5000 0.5000 0.0000
Ce 0.0000 0.5000 0.5000
Sm 0.0000 0.5000 0.0000
Se 0.2449 0.2413 0.9929
Se 0.7534 0.7598 0.5067
Se 0.2466 0.2402 0.4933
Se 0.2520 0.7587 0.0071
Se 0.7480 0.2412 0.4960
Se 0.7480 0.2413 0.9929
Se 0.7551 0.7587 0.0071
Se 0.2520 0.7588 0.5040
Li 0.0000 0.0000 0.5000
Li 0.5000 0.0000 0.5000
Li 0.0000 0.0000 0.0000
Li 0.5000 0.0000 0.0000
```

Results
Total magnetization: 3.009 μB per formula unit
E_form (uncorrected): -1.62 eV per atom
Calculated volume: 24.8 A^3/atom

***

Entry 9:
Compound: LiCeSmSe3
Source: Alexandria via LeMat-Bulk
Functional: PBE
Structure: relaxed Values from VASP.

```
&SYSTEM
  ibrav = 0, nat = 12, ntyp = 4
/
ATOMIC_SPECIES
Se 78.96 Se.upf
Li 6.94 Li.upf
Ce 140.12 Ce.upf
Sm 150.36 Sm.upf
CELL_PARAMETERS angstrom
4.0598 0.0000 0.0000
0.0000 8.5828 0.1453
0.0000 -2.1135 8.6847
ATOMIC_POSITIONS crystal
Se 0.2500 0.0933 0.8672
Se 0.7500 0.4251 0.1765
Se 0.7500 0.2158 0.4963
Se 0.2500 0.7842 0.5037
Se 0.2500 0.5749 0.8235
Se 0.7500 0.9067 0.1328
Li 0.7500 0.9133 0.4157
Li 0.2500 0.0867 0.5843
Ce 0.7500 0.8178 0.7776
Ce 0.2500 0.1822 0.2224
Sm 0.7500 0.3351 0.8380
Sm 0.2500 0.6649 0.1620
```

Results
Total magnetization: 1.298 μB per formula unit
E_form (uncorrected): -1.66 eV per atom
Calculated volume: 25.3 A^3/atom

***

Entry 10:
Compound: Li3CeSm4Se8
Source: Alexandria via LeMat-Bulk
Functional: PBE
Structure: relaxed Values from VASP.

```
&SYSTEM
  ibrav = 0, nat = 16, ntyp = 4
/
ATOMIC_SPECIES
Li 6.94 Li.upf
Sm 150.36 Sm.upf
Se 78.96 Se.upf
Ce 140.12 Ce.upf
CELL_PARAMETERS angstrom
-0.9527 3.8814 7.2404
-8.1497 -1.1245 -0.4696
5.1218 -6.4679 -0.5820
ATOMIC_POSITIONS crystal
Li 0.5000 0.5000 0.5000
Li 0.0000 0.5000 0.5000
Li 0.5000 0.5000 0.0000
Sm 0.0000 0.0000 0.5000
Sm 0.5000 0.0000 0.0000
Sm 0.5000 0.0000 0.5000
Sm 0.0000 0.0000 0.0000
Se 0.7412 0.7428 0.9920
Se 0.2508 0.7428 0.5016
Se 0.2588 0.2572 0.0080
Se 0.2521 0.2564 0.5042
Se 0.2508 0.7428 0.9920
Se 0.7492 0.2572 0.4984
Se 0.7492 0.2572 0.0080
Se 0.7479 0.7436 0.4958
Ce 0.0000 0.5000 0.0000
```

Results
Total magnetization: 1.376 μB per formula unit
E_form (uncorrected): -1.71 eV per atom
Calculated volume: 24.9 A^3/atom